Entry 1:
Here is a geometry-optimized CaPm6Sm2Ho structure from Alexandria via LeMat-Bulk. Energies are from GGA-PBE.

a = 9.934 Å, b = 9.013 Å, c = 9.013 Å
α = 118.82°, β = 94.71°, γ = 94.71°
Fractional coordinates of all 20 atoms:
Ca (0.250, 0.401, 0.599)
Ca (0.750, 0.599, 0.401)
Pm (0.052, 0.119, 0.764)
Pm (0.448, 0.236, 0.881)
Pm (0.948, 0.881, 0.236)
Pm (0.552, 0.764, 0.119)
Pm (0.323, 0.970, 0.424)
Pm (0.177, 0.576, 0.030)
Pm (0.677, 0.030, 0.576)
Pm (0.823, 0.424, 0.970)
Pm (0.124, 0.716, 0.503)
Pm (0.376, 0.497, 0.284)
Pm (0.876, 0.284, 0.497)
Pm (0.624, 0.503, 0.716)
Sm (0.458, 0.800, 0.700)
Sm (0.042, 0.300, 0.200)
Sm (0.542, 0.200, 0.300)
Sm (0.958, 0.700, 0.800)
Ho (0.250, 0.977, 0.023)
Ho (0.750, 0.023, 0.977)

## Properties
Symmetry: C2/c (15)
Energy, eV/atom: -4.322
DOS(E_F), states/eV per cell: 29.44



Entry 2:
Here is a geometry-optimized CaPmHoSn structure from Alexandria via LeMat-Bulk. Energies are from GGA-PBE.

a = 5.484 Å, b = 5.484 Å, c = 5.484 Å
α = 60.00°, β = 60.00°, γ = 60.00°
Fractional coordinates of all 4 atoms:
Ca (0.750, 0.750, 0.750)
Ho (0.500, 0.500, 0.500)
Sn (0.250, 0.250, 0.250)
Pm (0.000, 0.000, 0.000)

## Properties
Symmetry: F-43m (216)
Energy, eV/atom: -4.075
DOS(E_F), states/eV per cell: 5.18



Entry 3:
Here is a geometry-optimized CaTb2Pm6Ho3 structure from Alexandria via LeMat-Bulk. Energies are from GGA-PBE.

a = 6.279 Å, b = 6.279 Å, c = 11.896 Å
α = 95.01°, β = 95.01°, γ = 119.98°
Fractional coordinates of all 12 atoms:
Ca (0.000, 0.000, 0.000)
Tb (0.333, 0.667, 0.000)
Tb (0.667, 0.333, 0.000)
Pm (0.915, 0.575, 0.746)
Pm (0.746, 0.746, 0.255)
Pm (0.085, 0.425, 0.254)
Pm (0.575, 0.915, 0.746)
Pm (0.254, 0.254, 0.745)
Pm (0.425, 0.085, 0.254)
Ho (0.166, 0.834, 0.500)
Ho (0.834, 0.166, 0.500)
Ho (0.500, 0.500, 0.500)

## Properties
Symmetry: C2/m (12)
Energy, eV/atom: -4.425
DOS(E_F), states/eV per cell: 13.57



Entry 4:
Here is a geometry-optimized CaTb3Pm6Ho2 structure from Alexandria via LeMat-Bulk. Energies are from GGA-PBE.

a = 6.286 Å, b = 6.286 Å, c = 11.903 Å
α = 95.01°, β = 95.01°, γ = 119.98°
Fractional coordinates of all 12 atoms:
Ca (0.000, 0.000, 0.000)
Tb (0.166, 0.834, 0.500)
Tb (0.834, 0.166, 0.500)
Tb (0.500, 0.500, 0.500)
Pm (0.915, 0.575, 0.748)
Pm (0.744, 0.744, 0.253)
Pm (0.085, 0.425, 0.252)
Pm (0.575, 0.915, 0.748)
Pm (0.256, 0.256, 0.747)
Pm (0.425, 0.085, 0.252)
Ho (0.333, 0.667, 0.000)
Ho (0.667, 0.333, 0.000)

## Properties
Symmetry: C2/m (12)
Energy, eV/atom: -4.427
DOS(E_F), states/eV per cell: 14.01



Entry 5:
Here is a geometry-optimized CaTbPm6Ho2 structure from Alexandria via LeMat-Bulk. Energies are from GGA-PBE.

a = 9.857 Å, b = 8.972 Å, c = 8.972 Å
α = 118.52°, β = 94.39°, γ = 94.39°
Fractional coordinates of all 20 atoms:
Ca (0.250, 0.402, 0.598)
Ca (0.750, 0.598, 0.402)
Tb (0.250, 0.974, 0.026)
Tb (0.750, 0.026, 0.974)
Pm (0.052, 0.114, 0.762)
Pm (0.448, 0.238, 0.886)
Pm (0.948, 0.886, 0.238)
Pm (0.552, 0.762, 0.114)
Pm (0.323, 0.972, 0.431)
Pm (0.177, 0.569, 0.028)
Pm (0.677, 0.028, 0.569)
Pm (0.823, 0.431, 0.972)
Pm (0.123, 0.711, 0.499)
Pm (0.377, 0.501, 0.289)
Pm (0.877, 0.289, 0.501)
Pm (0.623, 0.499, 0.711)
Ho (0.457, 0.802, 0.701)
Ho (0.043, 0.299, 0.198)
Ho (0.543, 0.198, 0.299)
Ho (0.957, 0.701, 0.802)

## Properties
Symmetry: C2/c (15)
Energy, eV/atom: -4.292
DOS(E_F), states/eV per cell: 30.11



Entry 6:
Here is a geometry-optimized Ca3PmHo2Te6 structure from Alexandria via LeMat-Bulk. Energies are from GGA-PBE.

a = 7.628 Å, b = 7.628 Å, c = 7.777 Å
α = 99.44°, β = 99.44°, γ = 119.93°
Fractional coordinates of all 12 atoms:
Ca (0.164, 0.836, 0.500)
Ca (0.836, 0.164, 0.500)
Ca (0.500, 0.500, 0.500)
Pm (0.000, 0.000, 0.000)
Ho (0.332, 0.668, 0.000)
Ho (0.668, 0.332, 0.000)
Te (0.917, 0.577, 0.753)
Te (0.741, 0.741, 0.245)
Te (0.083, 0.423, 0.247)
Te (0.577, 0.917, 0.753)
Te (0.259, 0.259, 0.755)
Te (0.423, 0.083, 0.247)

## Properties
Energy relative to the elements, uncorrected, eV per atom: -1.46
Symmetry: C2/m (12)
Energy, eV/atom: -4.691
DOS(E_F), states/eV per cell: 5.02



Question: Which value of energy does entry 6 give?
Answer: -4.691 eV/atom